# 1
# PBE Ta4Fe3Os, optimized geometry
# - raw total energy (eV per formula unit) = -85.63
# - formation enthalpy at 0 K (eV/f.u.) = -1.60
data_Ta4Fe3Os
_symmetry_space_group_name_H-M 'P 1'
_symmetry_Int_Tables_number 1
_symmetry_space_group_name_Hall 'P 1'
_cell_length_a 3.098
_cell_length_b 4.418
_cell_length_c 8.755
_cell_angle_alpha 90.00
_cell_angle_beta 90.00
_cell_angle_gamma 90.00
loop_
_atom_site_label
_atom_site_fract_x
_atom_site_fract_y
_atom_site_fract_z
_atom_site_occupancy
Ta1 0.000 0.000 0.000 1
Ta2 0.000 0.000 0.500 1
Ta3 0.000 0.500 0.240 1
Ta4 0.000 0.500 0.760 1
Fe1 0.500 0.000 0.252 1
Fe2 0.500 0.000 0.748 1
Fe3 0.500 0.500 0.000 1
Os1 0.500 0.500 0.500 1



# 2
# PBE Ta2FeOs, optimized geometry
# - raw total energy (eV per formula unit) = -43.23
# - formation enthalpy at 0 K (eV/f.u.) = 0.17
# - offset from the most stable computed form (meV/atom) = 305.1
data_Ta2FeOs
_symmetry_space_group_name_H-M 'P 1'
_symmetry_Int_Tables_number 1
_symmetry_space_group_name_Hall 'P 1'
_cell_length_a 2.743
_cell_length_b 2.743
_cell_length_c 8.213
_cell_angle_alpha 90.00
_cell_angle_beta 90.00
_cell_angle_gamma 90.00
loop_
_atom_site_label
_atom_site_fract_x
_atom_site_fract_y
_atom_site_fract_z
_atom_site_occupancy
Ta1 0.000 0.000 0.000 1
Ta2 0.500 0.500 0.290 1
Fe1 0.000 0.000 0.540 1
Os1 0.500 0.500 0.728 1



# 3
# PBE TaFe2Os, optimized geometry
# - raw total energy (eV per formula unit) = -39.80
# - formation enthalpy at 0 K (eV/f.u.) = 0.21
data_TaFe2Os
_symmetry_space_group_name_H-M 'P 1'
_symmetry_Int_Tables_number 1
_symmetry_space_group_name_Hall 'P 1'
_cell_length_a 4.519
_cell_length_b 4.519
_cell_length_c 2.729
_cell_angle_alpha 90.00
_cell_angle_beta 90.00
_cell_angle_gamma 107.03
loop_
_atom_site_label
_atom_site_fract_x
_atom_site_fract_y
_atom_site_fract_z
_atom_site_occupancy
Ta1 0.000 0.000 0.000 1
Fe1 0.000 0.500 0.500 1
Fe2 0.500 0.000 0.500 1
Os1 0.500 0.500 0.000 1



# 4
# PBE Ta2FeOs, optimized geometry
# - raw total energy (eV per formula unit) = -42.50
# - formation enthalpy at 0 K (eV/f.u.) = 0.90
# - offset from the most stable computed form (meV/atom) = 488.0
data_Ta2FeOs
_symmetry_space_group_name_H-M 'P 1'
_symmetry_Int_Tables_number 1
_symmetry_space_group_name_Hall 'P 1'
_cell_length_a 9.442
_cell_length_b 9.442
_cell_length_c 9.442
_cell_angle_alpha 17.05
_cell_angle_beta 17.05
_cell_angle_gamma 17.05
loop_
_atom_site_label
_atom_site_fract_x
_atom_site_fract_y
_atom_site_fract_z
_atom_site_occupancy
Ta1 0.000 0.000 0.000 1
Ta2 0.239 0.239 0.239 1
Fe1 0.491 0.491 0.491 1
Os1 0.752 0.752 0.752 1



# 5
# PBE TaFe2Os, optimized geometry
# - raw total energy (eV per formula unit) = -40.07
# - formation enthalpy at 0 K (eV/f.u.) = -0.06
data_TaFe2Os
_symmetry_space_group_name_H-M 'P 1'
_symmetry_Int_Tables_number 1
_symmetry_space_group_name_Hall 'P 1'
_cell_length_a 4.628
_cell_length_b 4.628
_cell_length_c 4.628
_cell_angle_alpha 131.84
_cell_angle_beta 131.84
_cell_angle_gamma 70.49
loop_
_atom_site_label
_atom_site_fract_x
_atom_site_fract_y
_atom_site_fract_z
_atom_site_occupancy
Ta1 0.000 0.000 0.000 1
Fe1 0.250 0.750 0.500 1
Fe2 0.750 0.250 0.500 1
Os1 0.500 0.500 0.000 1



# 6
# PBE TaFe2Os, optimized geometry
# - raw total energy (eV per formula unit) = -40.05
# - formation enthalpy at 0 K (eV/f.u.) = -0.04
data_TaFe2Os
_symmetry_space_group_name_H-M 'P 1'
_symmetry_Int_Tables_number 1
_symmetry_space_group_name_Hall 'P 1'
_cell_length_a 4.676
_cell_length_b 4.676
_cell_length_c 4.676
_cell_angle_alpha 132.22
_cell_angle_beta 132.22
_cell_angle_gamma 69.89
loop_
_atom_site_label
_atom_site_fract_x
_atom_site_fract_y
_atom_site_fract_z
_atom_site_occupancy
Ta1 0.000 0.000 0.000 1
Fe1 0.250 0.750 0.500 1
Fe2 0.500 0.500 0.000 1
Os1 0.750 0.250 0.500 1



# 7
# PBE Ta2FeOs, optimized geometry
# - raw total energy (eV per formula unit) = -43.48
# - formation enthalpy at 0 K (eV/f.u.) = -0.09
# - offset from the most stable computed form (meV/atom) = 241.6
data_Ta2FeOs
_symmetry_space_group_name_H-M 'P 1'
_symmetry_Int_Tables_number 1
_symmetry_space_group_name_Hall 'P 1'
_cell_length_a 2.797
_cell_length_b 2.797
_cell_length_c 8.396
_cell_angle_alpha 90.00
_cell_angle_beta 90.00
_cell_angle_gamma 109.41
loop_
_atom_site_label
_atom_site_fract_x
_atom_site_fract_y
_atom_site_fract_z
_atom_site_occupancy
Ta1 0.000 0.000 0.239 1
Ta2 0.000 0.000 0.761 1
Fe1 0.500 0.500 0.000 1
Os1 0.500 0.500 0.500 1



# 8
# PBE TaFe2Os, optimized geometry
# - raw total energy (eV per formula unit) = -40.11
# - formation enthalpy at 0 K (eV/f.u.) = -0.10
data_TaFe2Os
_symmetry_space_group_name_H-M 'P 1'
_symmetry_Int_Tables_number 1
_symmetry_space_group_name_Hall 'P 1'
_cell_length_a 4.156
_cell_length_b 4.156
_cell_length_c 3.175
_cell_angle_alpha 90.00
_cell_angle_beta 90.00
_cell_angle_gamma 90.00
loop_
_atom_site_label
_atom_site_fract_x
_atom_site_fract_y
_atom_site_fract_z
_atom_site_occupancy
Ta1 0.000 0.000 0.000 1
Fe1 0.000 0.500 0.500 1
Fe2 0.500 0.000 0.500 1
Os1 0.500 0.500 0.000 1



# 9
# PBE TaFe2Os, optimized geometry
# - raw total energy (eV per formula unit) = -40.33
# - formation enthalpy at 0 K (eV/f.u.) = -0.32
data_TaFe2Os
_symmetry_space_group_name_H-M 'P 1'
_symmetry_Int_Tables_number 1
_symmetry_space_group_name_Hall 'P 1'
_cell_length_a 3.157
_cell_length_b 4.195
_cell_length_c 4.247
_cell_angle_alpha 90.00
_cell_angle_beta 90.00
_cell_angle_gamma 90.00
loop_
_atom_site_label
_atom_site_fract_x
_atom_site_fract_y
_atom_site_fract_z
_atom_site_occupancy
Ta1 0.000 0.000 0.000 1
Fe1 0.000 0.500 0.500 1
Fe2 0.500 0.500 0.000 1
Os1 0.500 0.000 0.500 1



# 10
# PBE TaFeOs, optimized geometry
# - raw total energy (eV per formula unit) = -31.82
# - formation enthalpy at 0 K (eV/f.u.) = -0.27
data_TaFeOs
_symmetry_space_group_name_H-M 'P 1'
_symmetry_Int_Tables_number 1
_symmetry_space_group_name_Hall 'P 1'
_cell_length_a 5.010
_cell_length_b 5.010
_cell_length_c 5.010
_cell_angle_alpha 143.24
_cell_angle_beta 143.24
_cell_angle_gamma 52.97
loop_
_atom_site_label
_atom_site_fract_x
_atom_site_fract_y
_atom_site_fract_z
_atom_site_occupancy
Ta1 0.000 0.000 0.000 1
Fe1 0.666 0.666 0.000 1
Os1 0.331 0.331 0.000 1



# 11
# PBE Ta2FeOs2, optimized geometry
# - raw total energy (eV per formula unit) = -53.19
# - formation enthalpy at 0 K (eV/f.u.) = 1.43
# - offset from the most stable computed form (meV/atom) = 0.0
data_Ta2FeOs2
_symmetry_space_group_name_H-M 'P 1'
_symmetry_Int_Tables_number 1
_symmetry_space_group_name_Hall 'P 1'
_cell_length_a 7.310
_cell_length_b 7.310
_cell_length_c 3.079
_cell_angle_alpha 90.00
_cell_angle_beta 90.00
_cell_angle_gamma 90.00
loop_
_atom_site_label
_atom_site_fract_x
_atom_site_fract_y
_atom_site_fract_z
_atom_site_occupancy
Ta1 0.165 0.335 0.000 1
Ta2 0.335 0.835 0.000 1
Ta3 0.665 0.165 0.000 1
Ta4 0.835 0.665 0.000 1
Fe1 0.000 0.000 0.500 1
Fe2 0.500 0.500 0.500 1
Os1 0.137 0.637 0.500 1
Os2 0.363 0.137 0.500 1
Os3 0.637 0.863 0.500 1
Os4 0.863 0.363 0.500 1



# 12
# PBE TaFe2Os, optimized geometry
# - raw total energy (eV per formula unit) = -39.81
# - formation enthalpy at 0 K (eV/f.u.) = 0.19
data_TaFe2Os
_symmetry_space_group_name_H-M 'P 1'
_symmetry_Int_Tables_number 1
_symmetry_space_group_name_Hall 'P 1'
_cell_length_a 4.651
_cell_length_b 4.651
_cell_length_c 4.478
_cell_angle_alpha 102.30
_cell_angle_beta 102.30
_cell_angle_gamma 35.05
loop_
_atom_site_label
_atom_site_fract_x
_atom_site_fract_y
_atom_site_fract_z
_atom_site_occupancy
Ta1 0.000 0.000 0.000 1
Fe1 0.494 0.494 0.499 1
Fe2 0.760 0.760 0.238 1
Os1 0.234 0.234 0.688 1



Please write out number 2 again, unchanged.
# PBE Ta2FeOs, optimized geometry
# - raw total energy (eV per formula unit) = -43.23
# - formation enthalpy at 0 K (eV/f.u.) = 0.17
# - offset from the most stable computed form (meV/atom) = 305.1
data_Ta2FeOs
_symmetry_space_group_name_H-M 'P 1'
_symmetry_Int_Tables_number 1
_symmetry_space_group_name_Hall 'P 1'
_cell_length_a 2.743
_cell_length_b 2.743
_cell_length_c 8.213
_cell_angle_alpha 90.00
_cell_angle_beta 90.00
_cell_angle_gamma 90.00
loop_
_atom_site_label
_atom_site_fract_x
_atom_site_fract_y
_atom_site_fract_z
_atom_site_occupancy
Ta1 0.000 0.000 0.000 1
Ta2 0.500 0.500 0.290 1
Fe1 0.000 0.000 0.540 1
Os1 0.500 0.500 0.728 1